## SmZnPd4 (PBE)

Data for a geometry-optimized SmZnPd4 structure.

Its formation energy is -0.650 eV per atom. The calculation puts the density at 9.98 g/cm³. The volume comes out at 17.8 Å³/atom.

The structure belongs to space group Cmcm (No. 63); the cell edges are 4.162, 17.065 and 6.011 Å and the angles 90.00°, 90.00° and 90.00°. The distinct sites, in fractional coordinates, are Sm at (0.000, 0.095, 0.250), Zn at (0.000, 0.223, 0.750), Pd at (0.000, 0.076, 0.750), Pd at (0.000, 0.331, 0.025) and Pd at (0.000, 0.500, 0.000).